Below is a relaxed Tm3Th2C4 crystal, with properties calculated at the PBE level.

Output
ΔE_f = -0.30 eV/atom
DFT total energy = -7.538 eV per atom

abc: 3.587 6.243 8.321
angles: 74.14 77.55 73.31
Fractional positions:
C: 0.199 0.910 0.693
Th: 0.599 0.184 0.619
Tm: 0.000 0.000 0.000
C: 0.801 0.090 0.307
Th: 0.401 0.816 0.381
C: 0.600 0.697 0.103
Tm: 0.211 0.402 0.175
Tm: 0.789 0.598 0.825
C: 0.400 0.303 0.897